Here is CeBiP2Rh5 after structural relaxation from Alexandria. Energies are from PBE.

Cell and atoms, written as POSCAR:
```
CeBiP2Rh5
1.0
4.035 0.000 0.000
0.000 4.035 0.000
0.000 0.000 10.555
Rh P Bi Ce
5 2 1 1
direct
0.000 0.500 0.815
0.500 0.000 0.185
0.500 0.000 0.815
0.000 0.500 0.185
0.500 0.500 0.500
0.500 0.500 0.715
0.500 0.500 0.285
0.000 0.000 0.000
0.000 0.000 0.500
```

## Properties
Calculated density in g/cm³: 8.9
Calculated total energy in eV/atom: -7.01
Space-group type: P4/mmm, No. 123
Total magnetic moment in μB per atom: 0.067